*A*
## Sr2AgSn2 (PBE-GGA)

Data for a relaxed Sr2AgSn2 crystal.

The structure belongs to space group I4/mmm (No. 139); the cell edges are 4.243, 4.243 and 18.974 Å and the angles 90.00°, 90.00° and 90.00°. The inequivalent atoms are Sr at (0.000, 0.000, 0.101), Ag at (0.000, 0.000, 0.500) and Sn at (0.000, 0.500, 0.250).

The density of states at the Fermi level is 5.5 states/eV per cell. As for the total magnetic moment: 0.0 μB/cell.

---

*B*
## Sr2AgSn2 (PBE-GGA)

Data for a relaxed Sr2AgSn2 crystal.

The structure belongs to space group I4/mmm (No. 139); the cell edges are 6.562, 6.562 and 8.470 Å and the angles 90.00°, 90.00° and 90.00°. The inequivalent atoms are Sr at (0.000, 0.500, 0.250), Ag at (0.000, 0.000, 0.000) and Sn at (0.000, 0.000, 0.331).

The density of states at the Fermi level is 9.1 states/eV per cell. As for the total magnetic moment: 0.0 μB/cell.

---

Which of them is the least stable? Correct choice: *B*.

---

*A*
## Sr2AgSn2 (PBE-GGA)

Data for a relaxed Sr2AgSn2 crystal.

The structure belongs to space group C2/m (No. 12); the cell edges are 11.861, 4.932 and 11.892 Å and the angles 90.00°, 117.89° and 90.00°. The inequivalent atoms are Sr at (0.018, 0.000, 0.333), Sr at (0.187, 0.000, 0.108), Ag at (0.225, 0.500, 0.346), Sn at (0.018, 0.500, 0.884) and Sn at (0.141, 0.500, 0.562).

The density of states at the Fermi level is 9.1 states/eV per cell. As for the total magnetic moment: 0.0 μB/cell.

---

*B*
## Sr2AgSn2 (PBE-GGA)

Data for a relaxed Sr2AgSn2 crystal.

The structure belongs to space group P4/mbm (No. 127); the cell edges are 8.870, 8.870 and 4.604 Å and the angles 90.00°, 90.00° and 90.00°. The inequivalent atoms are Sr at (0.183, 0.317, 0.000), Ag at (0.000, 0.000, 0.000) and Sn at (0.111, 0.611, 0.500).

The density of states at the Fermi level is 5.6 states/eV per cell. As for the total magnetic moment: 0.0 μB/cell.

---

Which of them is the least stable? Correct choice: *B*.

---

*A*
## SrAg2Sn3 (PBE-GGA)

Data for a relaxed SrAg2Sn3 crystal.

The structure belongs to space group Cmcm (No. 63); the cell edges are 11.957, 9.594 and 5.891 Å and the angles 90.00°, 90.00° and 90.00°. The inequivalent atoms are Sr at (0.000, 0.196, 0.250), Ag at (0.211, 0.000, 0.000), Sn at (0.000, 0.445, 0.750) and Sn at (0.197, 0.256, 0.750).

The density of states at the Fermi level is 9.8 states/eV per cell. As for the total magnetic moment: 0.0 μB/cell.

---

*B*
## SrAg2Sn3 (PBE-GGA)

Data for a relaxed SrAg2Sn3 crystal.

The structure belongs to space group C2/m (No. 12); the cell edges are 17.424, 4.647 and 9.111 Å and the angles 90.00°, 121.46° and 90.00°. The inequivalent atoms are Sr at (0.132, 0.000, 0.132), Ag at (0.000, 0.500, 0.156), Ag at (0.187, 0.000, 0.686), Sn at (0.001, 0.000, 0.660), Sn at (0.177, 0.500, 0.468) and Sn at (0.177, 0.500, 0.885).

The density of states at the Fermi level is 10.3 states/eV per cell. As for the total magnetic moment: 0.0 μB/cell.

---

Which of them is the least stable? Correct choice: *A*.

---

*A*
## Sr2Ag3Sn (PBE-GGA)

Data for a relaxed Sr2Ag3Sn crystal.

The structure belongs to space group Cm (No. 8); the cell edges are 11.314, 4.946 and 7.936 Å and the angles 90.00°, 132.72° and 90.00°. The inequivalent atoms are Sr at (0.000, 0.000, 0.000), Sr at (0.098, 0.000, 0.600), Ag at (0.208, 0.500, 0.023), Ag at (0.383, 0.000, 0.183), Ag at (0.384, 0.000, 0.576) and Sn at (0.218, 0.500, 0.410).

The density of states at the Fermi level is 6.1 states/eV per cell. As for the total magnetic moment: 0.0 μB/cell.

---

*B*
## Sr2Ag3Sn (PBE-GGA)

Data for a relaxed Sr2Ag3Sn crystal.

The structure belongs to space group Fmmm (No. 69); the cell edges are 8.430, 9.626 and 16.885 Å and the angles 90.00°, 90.00° and 90.00°. The inequivalent atoms are Sr at (0.242, 0.000, 0.000), Sr at (0.250, 0.250, 0.250), Ag at (0.000, 0.000, 0.168), Ag at (0.000, 0.250, 0.083) and Sn at (0.000, 0.000, 0.335).

The density of states at the Fermi level is 34.0 states/eV per cell. As for the total magnetic moment: 0.0 μB/cell.

---

Which of them is the least stable? Correct choice: *B*.